Entry 1:
{"formula": "NiSb2WI", "functional": "PBE-GGA", "state": "relaxed", "cell": [[4.897, 0.000, 0.000], [0.000, 4.897, 0.000], [0.000, 0.000, 5.171]], "species": ["Ni", "Sb", "Sb", "W", "I"], "frac_coords": [[0.000, 0.000, 0.000], [0.000, 0.500, 0.000], [0.500, 0.000, 0.000], [0.500, 0.500, 0.500], [0.000, 0.000, 0.500]], "e_tot_ev_per_atom": -4.45, "de_polymorph_ev_per_fu": 0.22, "m_tot_mub_per_atom": 0.556, "raw_formation_energy_kj_per_mol_atoms": 121.33}

=====

Entry 2:
{"formula": "NiSb2WI", "functional": "PBE-GGA", "state": "relaxed", "cell": [[5.165, 0.000, 0.000], [0.000, 5.165, 0.000], [0.000, 0.000, 5.765]], "species": ["Ni", "Sb", "Sb", "W", "I"], "frac_coords": [[0.000, 0.000, 0.000], [0.000, 0.500, 0.500], [0.500, 0.000, 0.500], [0.500, 0.500, 0.500], [0.500, 0.500, 0.000]], "e_tot_ev_per_atom": -4.49, "de_polymorph_ev_per_fu": 0.00, "m_tot_mub_per_atom": 0.280, "raw_formation_energy_kj_per_mol_atoms": 117.10}

=====

Entry 3:
{"formula": "YNiSbI2", "functional": "PBE-GGA", "state": "relaxed", "cell": [[5.103, 0.000, 0.000], [0.000, 5.103, 0.000], [0.000, 0.000, 5.406]], "species": ["Y", "Ni", "Sb", "I", "I"], "frac_coords": [[0.000, 0.000, 0.000], [0.500, 0.500, 0.500], [0.500, 0.500, 0.000], [0.000, 0.500, 0.500], [0.500, 0.000, 0.500]], "e_tot_ev_per_atom": -3.97, "de_polymorph_ev_per_fu": 0.00, "m_tot_mub_per_atom": 0.000, "raw_formation_energy_kj_per_mol_atoms": -7.14}

=====

Entry 4:
{"formula": "YNiSbI2", "functional": "PBE-GGA", "state": "relaxed", "cell": [[5.858, 0.000, 0.000], [0.000, 5.858, 0.000], [0.000, 0.000, 6.211]], "species": ["Y", "Ni", "Sb", "I", "I"], "frac_coords": [[0.000, 0.000, 0.000], [0.500, 0.500, 0.500], [0.000, 0.000, 0.500], [0.000, 0.500, 0.000], [0.500, 0.000, 0.000]], "e_tot_ev_per_atom": -3.56, "de_polymorph_ev_per_fu": 2.03, "m_tot_mub_per_atom": 0.140, "raw_formation_energy_kj_per_mol_atoms": 32.03}

=====

Entry 5:
{"formula": "YNiSbI2", "functional": "PBE-GGA", "state": "relaxed", "cell": [[5.890, 0.000, 0.000], [0.000, 5.890, 0.000], [0.000, 0.000, 6.071]], "species": ["Y", "Ni", "Sb", "I", "I"], "frac_coords": [[0.000, 0.000, 0.000], [0.500, 0.500, 0.000], [0.000, 0.000, 0.500], [0.000, 0.500, 0.500], [0.500, 0.000, 0.500]], "e_tot_ev_per_atom": -3.14, "de_polymorph_ev_per_fu": 4.13, "m_tot_mub_per_atom": 0.198, "raw_formation_energy_kj_per_mol_atoms": 72.48}

=====

Entry 6:
{"formula": "ZnNiSb2I", "functional": "PBE-GGA", "state": "relaxed", "cell": [[4.999, 0.000, 0.000], [0.000, 4.999, 0.000], [0.000, 0.000, 5.442]], "species": ["Zn", "Ni", "Sb", "Sb", "I"], "frac_coords": [[0.000, 0.000, 0.000], [0.500, 0.500, 0.500], [0.000, 0.500, 0.500], [0.500, 0.000, 0.500], [0.500, 0.500, 0.000]], "e_tot_ev_per_atom": -2.94, "de_polymorph_ev_per_fu": 0.00, "m_tot_mub_per_atom": 0.000, "raw_formation_energy_kj_per_mol_atoms": 41.62}

=====

Entry 7:
{"formula": "ScNi2I", "functional": "PBE-GGA", "state": "relaxed", "cell": [[0.000, 3.229, 3.229], [3.229, 0.000, 3.229], [3.229, 3.229, 0.000]], "species": ["Sc", "Ni", "Ni", "I"], "frac_coords": [[0.000, 0.000, 0.000], [0.250, 0.250, 0.250], [0.750, 0.750, 0.750], [0.500, 0.500, 0.500]], "e_tot_ev_per_atom": -4.70, "de_polymorph_ev_per_fu": 0.00, "m_tot_mub_per_atom": 0.000, "raw_formation_energy_kj_per_mol_atoms": 15.30}

=====

Entry 8:
{"formula": "Sc2NiI8", "functional": "PBE-GGA", "state": "relaxed", "cell": [[7.949, -3.989, 0.000], [7.949, 3.989, 0.000], [-3.144, 0.000, 9.438]], "species": ["Sc", "Sc", "Ni", "I", "I", "I", "I", "I", "I", "I", "I"], "frac_coords": [[0.218, 0.218, 0.314], [0.782, 0.782, 0.686], [0.000, 0.000, 0.000], [0.129, 0.667, 0.864], [0.208, 0.208, 0.581], [0.333, 0.871, 0.136], [0.379, 0.379, 0.287], [0.621, 0.621, 0.713], [0.667, 0.129, 0.864], [0.792, 0.792, 0.419], [0.871, 0.333, 0.136]], "e_tot_ev_per_atom": -3.60, "m_tot_mub_per_atom": 0.012, "raw_formation_energy_kj_per_mol_atoms": -76.45}

=====

Entry 9:
{"formula": "Sc3NiI", "functional": "PBE-GGA", "state": "relaxed", "cell": [[4.964, 0.000, 0.000], [0.000, 4.964, 0.000], [0.000, 0.000, 4.964]], "species": ["Sc", "Sc", "Sc", "Ni", "I"], "frac_coords": [[0.000, 0.000, 0.500], [0.000, 0.500, 0.000], [0.500, 0.000, 0.000], [0.000, 0.000, 0.000], [0.500, 0.500, 0.500]], "e_tot_ev_per_atom": -5.45, "de_polymorph_ev_per_fu": 0.00, "m_tot_mub_per_atom": 0.000, "raw_formation_energy_kj_per_mol_atoms": -18.30}

=====

Entry 10:
{"formula": "ScNi2I", "functional": "PBE-GGA", "state": "relaxed", "cell": [[-2.108, 2.108, 8.307], [2.108, -2.108, 8.307], [2.108, 2.108, -8.307]], "species": ["Sc", "Sc", "Ni", "Ni", "Ni", "Ni", "I", "I"], "frac_coords": [[0.000, 0.000, 0.000], [0.750, 0.250, 0.500], [0.090, 0.625, 0.965], [0.375, 0.340, 0.465], [0.660, 0.125, 0.035], [0.875, 0.910, 0.535], [0.250, 0.750, 0.500], [0.500, 0.500, 0.000]], "e_tot_ev_per_atom": -4.63, "de_polymorph_ev_per_fu": 0.28, "m_tot_mub_per_atom": 0.000, "raw_formation_energy_kj_per_mol_atoms": 22.02}

=====

Entry 11:
{"formula": "Sc4NiI5", "functional": "PBE-GGA", "state": "relaxed", "cell": [[9.561, -1.957, 0.000], [9.561, 1.957, 0.000], [-1.777, 0.000, 8.197]], "species": ["Sc", "Sc", "Sc", "Sc", "Ni", "I", "I", "I", "I", "I"], "frac_coords": [[0.001, 0.001, 0.196], [0.368, 0.368, 0.934], [0.632, 0.632, 0.066], [0.999, 0.999, 0.804], [0.500, 0.500, 0.000], [0.164, 0.164, 0.334], [0.169, 0.169, 0.832], [0.500, 0.500, 0.500], [0.831, 0.831, 0.168], [0.836, 0.836, 0.666]], "e_tot_ev_per_atom": -4.82, "m_tot_mub_per_atom": 0.000, "raw_formation_energy_kj_per_mol_atoms": -89.83}

=====

Entry 12:
{"formula": "Sc3NiI3", "functional": "PBE-GGA", "state": "relaxed", "cell": [[-5.770, 5.770, 5.770], [5.770, -5.770, 5.770], [5.770, 5.770, -5.770]], "species": ["Sc", "Sc", "Sc", "Sc", "Sc", "Sc", "Sc", "Sc", "Sc", "Sc", "Sc", "Sc", "Ni", "Ni", "Ni", "Ni", "I", "I", "I", "I", "I", "I", "I", "I", "I", "I", "I", "I"], "frac_coords": [[0.028, 0.056, 0.278], [0.028, 0.472, 0.750], [0.056, 0.278, 0.028], [0.222, 0.278, 0.750], [0.222, 0.444, 0.472], [0.278, 0.028, 0.056], [0.278, 0.750, 0.222], [0.444, 0.472, 0.222], [0.472, 0.222, 0.444], [0.472, 0.750, 0.028], [0.750, 0.028, 0.472], [0.750, 0.222, 0.278], [0.000, 0.250, 0.500], [0.250, 0.250, 0.250], [0.250, 0.500, 0.000], [0.500, 0.000, 0.250], [0.250, 0.754, 0.746], [0.250, 0.996, 0.504], [0.504, 0.250, 0.996], [0.504, 0.754, 0.509], [0.509, 0.504, 0.754], [0.746, 0.250, 0.754], [0.746, 0.996, 0.991], [0.754, 0.509, 0.504], [0.754, 0.746, 0.250], [0.991, 0.746, 0.996], [0.996, 0.504, 0.250], [0.996, 0.991, 0.746]], "e_tot_ev_per_atom": -5.01, "m_tot_mub_per_atom": 0.000, "raw_formation_energy_kj_per_mol_atoms": -77.34}